Below is a relaxed structure of CeTlZnAu, with properties calculated at the GGA-PBE level.

Cell: 5.0409 5.0409 5.0409 Å, 60.00 60.00 60.00°
Fractional coordinates of all 4 atoms:
Ce  0.0000  0.0000  0.0000
Tl  0.5000  0.5000  0.5000
Zn  0.7500  0.7500  0.7500
Au  0.2500  0.2500  0.2500

Properties
**Calculated formation energy**: -359 meV per atom
**D(E_F)**: 6.69 states/eV/f.u.
**Raw total energy**: -3.572 eV/atom